MgTaTcPb after structural relaxation. Source: the Open Quantum Materials Database, functional GGA-PBE.

total energy: -6.58 eV/atom
space-group type: F-43m (216)
E above lowest polymorph: 0.0 meV per atom

Cell: 4.671 4.671 4.671 Å, 60.00 60.00 60.00°
Atoms (fractional coordinates):
Pb: 0.500 0.500 0.500
Ta: 0.000 0.000 0.000
Mg: 0.750 0.750 0.750
Tc: 0.250 0.250 0.250